Computed, not measured: crystalline AcCdHgTe at its relaxed geometry at the PBE-GGA level of DFT.

formation energy from raw total energies: -0.581 eV/atom
calculated total energy: -10.8 eV for the cell shown

Structure (POSCAR):
```
AcCdHgTe
1.0
5.566 0.000 0.000
2.783 4.820 0.000
2.783 1.607 4.544
Ac Te Hg Cd
1 1 1 1
direct
0.250 0.250 0.250 Ac
0.000 0.000 0.000 Te
0.500 0.500 0.500 Hg
0.750 0.750 0.750 Cd
```

Computed, not measured: crystalline Ca2AcPb3 at its relaxed geometry at the PBE-GGA level of DFT.

energy above the most stable polymorph in this dataset: 3 meV/atom
energy of formation: -289.6 kJ/mol of formula units
calculated total energy: -22.2 eV for the cell shown

Structure (POSCAR):
```
Ca2AcPb3
1.0
-3.117 -1.927 0.523
1.298 -1.219 3.246
-5.725 11.000 6.420
Ca Ac Pb
2 1 3
direct
0.500 0.500 0.840 Ca
0.500 0.500 0.160 Ca
0.500 0.500 0.500 Ac
0.000 0.000 0.000 Pb
0.000 0.000 0.678 Pb
0.000 0.000 0.322 Pb
```

The records above yield density values of 9094, 8059 kg/m3, respectively.
The records above yield magnetization values of 0.00, 0.00 μB per formula unit, respectively.
The records above yield D(E_F) values of 3.338, 3.876 states/eV/f.u., respectively.